Here is an optimized crystal structure of Tm3Ga7Co2 from the Alexandria database. Energies are from PBE.

a b c (Å): 14.568 14.568 14.568
angles (deg): 164.61 164.61 21.83
Sites, in units of the cell vectors:
Tm1 0.000 0.000 0.000
Tm2 0.167 0.167 0.000
Tm3 0.833 0.833 0.000
Ga1 0.083 0.583 0.500
Ga2 0.274 0.274 0.000
Ga3 0.417 0.917 0.500
Ga4 0.500 0.500 0.000
Ga5 0.583 0.083 0.500
Ga6 0.726 0.726 0.000
Ga7 0.917 0.417 0.500
Co1 0.358 0.358 0.000
Co2 0.642 0.642 0.000

## Properties
- energy relative to the elements (eV/f.u.) = -5.014
- uncorrected energy (eV per atom) = -4.486

---

Here is an optimized crystal structure of Tm2GaCo2 from the Alexandria database. Energies are from PBE.

a b c (Å): 5.289 5.289 5.289
angles (deg): 135.43 118.69 78.91
Sites, in units of the cell vectors:
Tm1 0.205 0.205 0.000
Tm2 0.795 0.795 0.000
Ga1 0.500 0.000 0.500
Co1 0.220 0.500 0.720
Co2 0.780 0.500 0.280

## Properties
- energy relative to the elements (eV/f.u.) = -2.283
- uncorrected energy (eV per atom) = -5.693

---

Here is an optimized crystal structure of Tm3Ga7Co2 from the Alexandria database. Energies are from PBE.

a b c (Å): 4.094 3.824 14.079
angles (deg): 90.00 98.34 90.00
Sites, in units of the cell vectors:
Tm1 0.000 0.000 0.000
Tm2 0.175 0.000 0.347
Tm3 0.825 0.000 0.653
Ga1 0.088 0.500 0.172
Ga2 0.276 0.500 0.552
Ga3 0.415 0.000 0.831
Ga4 0.500 0.500 0.000
Ga5 0.585 0.000 0.169
Ga6 0.724 0.500 0.448
Ga7 0.912 0.500 0.828
Co1 0.360 0.500 0.720
Co2 0.640 0.500 0.280

## Properties
- energy relative to the elements (eV/f.u.) = -5.259
- uncorrected energy (eV per atom) = -4.506